## AcPuTlBi (GGA-PBE)

Data for a relaxed structure of AcPuTlBi.

```
4
Lattice="-1.424 4.345 -3.394 -4.203 3.533 1.510 1.195 5.344 1.563" Properties=species:S:1:pos:R:3 pbc="T T T"
Bi -3.324 9.916 -0.241
Tl -1.108 3.305 -0.080
Ac 0.000 0.000 0.000
Pu -2.216 6.611 -0.161
```

Uncorrected energy   -6.444 eV per atom
Formation energy from the elements   -0.2719 eV per atom
DOS(E_F)   3.52 states/eV/atom